Compound: AlFe2AgF
Source: Alexandria
Functional: PBE with a Hubbard U
Structure: relaxed

Properties
symmetry	No. 123
total magnetic moment	7.1	μB/f.u.
D(E_F)	0.304	states/eV per atom
DFT total energy	-0.28358	Ry per atom
volume	85	Å³/cell

Lattice parameters (Å, degrees): 4.1795 4.1795 4.8872 90.00 90.00 90.00
Fractional coordinates of all 5 atoms:
Al1 0.0000 0.0000 0.0000
Fe1 0.0000 0.5000 0.5000
Fe2 0.5000 0.0000 0.5000
Ag1 0.5000 0.5000 0.0000
F1 0.5000 0.5000 0.5000